Entry 1:
KSr2I2 after structural relaxation. Source: Alexandria via LeMat-Bulk, functional PBE-GGA.

SG: P4/mbm
raw total energy: -22.54 eV for the cell shown
total magnetic moment: 0.00 μB/atom

a = 10.027 Å, b = 10.027 Å, c = 4.254 Å
α = 90.00°, β = 90.00°, γ = 90.00°
Sites, in units of the cell vectors:
I (0.366, 0.866, 0.000)
I (0.866, 0.634, 0.000)
I (0.634, 0.134, 0.000)
I (0.134, 0.366, 0.000)
Sr (0.162, 0.662, 0.500)
Sr (0.662, 0.838, 0.500)
Sr (0.838, 0.338, 0.500)
Sr (0.338, 0.162, 0.500)
K (0.000, 0.000, 0.000)
K (0.500, 0.500, 0.000)


Entry 2:
K3Sr5I12 after structural relaxation. Source: Alexandria via LeMat-Bulk, functional PBE-GGA.

SG: Ia-3d
raw total energy: -240.27 eV for the cell shown
total magnetic moment: 0.00 μB/atom

a = 17.787 Å, b = 17.787 Å, c = 17.787 Å
α = 109.47°, β = 109.47°, γ = 109.47°
Sites, in units of the cell vectors:
K (0.750, 0.375, 0.125)
K (0.875, 0.750, 0.125)
K (0.375, 0.750, 0.625)
K (0.250, 0.125, 0.375)
K (0.875, 0.125, 0.250)
K (0.375, 0.625, 0.250)
K (0.625, 0.375, 0.750)
K (0.125, 0.875, 0.750)
K (0.750, 0.875, 0.625)
K (0.625, 0.250, 0.375)
K (0.125, 0.250, 0.875)
K (0.250, 0.625, 0.875)
Sr (0.125, 0.375, 0.250)
Sr (0.000, 0.500, 0.000)
Sr (0.000, 0.000, 0.000)
Sr (0.375, 0.250, 0.125)
Sr (0.500, 0.000, 0.500)
Sr (0.500, 0.500, 0.000)
Sr (0.125, 0.750, 0.375)
Sr (0.750, 0.125, 0.875)
Sr (0.750, 0.625, 0.375)
Sr (0.375, 0.125, 0.750)
Sr (0.625, 0.875, 0.250)
Sr (0.500, 0.500, 0.500)
Sr (0.500, 0.000, 0.000)
Sr (0.000, 0.000, 0.500)
Sr (0.250, 0.375, 0.625)
Sr (0.250, 0.875, 0.125)
Sr (0.000, 0.500, 0.500)
Sr (0.875, 0.250, 0.625)
Sr (0.625, 0.750, 0.875)
Sr (0.875, 0.625, 0.750)
I (0.710, 0.125, 0.037)
I (0.327, 0.537, 0.412)
I (0.963, 0.375, 0.290)
I (0.537, 0.210, 0.125)
I (0.585, 0.710, 0.673)
I (0.963, 0.588, 0.173)
I (0.327, 0.790, 0.415)
I (0.088, 0.915, 0.125)
I (0.588, 0.963, 0.673)
I (0.710, 0.585, 0.173)
I (0.790, 0.463, 0.375)
I (0.827, 0.912, 0.037)
I (0.125, 0.710, 0.537)
I (0.375, 0.412, 0.085)
I (0.085, 0.912, 0.375)
I (0.415, 0.125, 0.588)
I (0.085, 0.173, 0.210)
I (0.463, 0.673, 0.088)
I (0.827, 0.915, 0.290)
I (0.125, 0.415, 0.088)
I (0.375, 0.963, 0.790)
I (0.588, 0.625, 0.415)
I (0.912, 0.827, 0.537)
I (0.790, 0.327, 0.915)
I (0.412, 0.375, 0.585)
I (0.088, 0.173, 0.463)
I (0.210, 0.673, 0.085)
I (0.173, 0.085, 0.710)
I (0.625, 0.037, 0.210)
I (0.875, 0.585, 0.912)
I (0.537, 0.327, 0.912)
I (0.585, 0.875, 0.412)
I (0.915, 0.827, 0.790)
I (0.915, 0.088, 0.625)
I (0.875, 0.290, 0.463)
I (0.173, 0.088, 0.963)
I (0.625, 0.588, 0.915)
I (0.412, 0.037, 0.327)
I (0.290, 0.415, 0.827)
I (0.210, 0.537, 0.625)
I (0.912, 0.085, 0.875)
I (0.673, 0.210, 0.585)
I (0.463, 0.790, 0.875)
I (0.037, 0.412, 0.827)
I (0.415, 0.290, 0.327)
I (0.037, 0.625, 0.710)
I (0.673, 0.463, 0.588)
I (0.290, 0.875, 0.963)


Entry 3:
K2Sr2I7 after structural relaxation. Source: Alexandria via LeMat-Bulk, functional PBE-GGA.

SG: Imm2
raw total energy: -31.60 eV for the cell shown
total magnetic moment: 0.09 μB/atom

a = 4.713 Å, b = 10.836 Å, c = 10.836 Å
α = 64.19°, β = 77.44°, γ = 77.44°
Each line ends with the local moment (μB).
Sites, in units of the cell vectors:
K (0.733, 0.873, 0.661)  0.00
K (0.267, 0.339, 0.127)  0.00
Sr (0.000, 0.758, 0.242)  0.00
Sr (0.500, 0.361, 0.639)  0.00
I (0.831, 0.063, 0.276)  0.18
I (0.880, 0.403, 0.838)  0.01
I (0.500, 0.963, 0.037)  0.28
I (0.608, 0.495, 0.288)  0.01
I (0.392, 0.712, 0.505)  0.01
I (0.169, 0.724, 0.937)  0.18
I (0.120, 0.162, 0.597)  0.01


Entry 4:
KSrTa2I after structural relaxation. Source: Alexandria via LeMat-Bulk, functional PBE-GGA.

SG: P4/mmm
raw total energy: -17.49 eV for the cell shown
total magnetic moment: 0.66 μB/atom

a = 5.046 Å, b = 6.237 Å, c = 5.046 Å
α = 90.00°, β = 90.00°, γ = 90.00°
Each line ends with the local moment (μB).
Sites, in units of the cell vectors:
I (0.000, 0.500, 0.000)  0.06
Sr (0.500, 0.500, 0.500)  0.01
K (0.000, 0.000, 0.000)  0.17
Ta (0.000, 0.000, 0.500)  1.09
Ta (0.500, 0.000, 0.000)  0.94


Entry 5:
KSrTbI6 after structural relaxation. Source: Alexandria via LeMat-Bulk, functional PBE-GGA.

SG: P-31c
raw total energy: -60.86 eV for the cell shown
total magnetic moment: 0.00 μB/atom

a = 8.227 Å, b = 8.227 Å, c = 15.274 Å
α = 90.00°, β = 90.00°, γ = 120.00°
Sites, in units of the cell vectors:
K (0.000, 0.000, 0.000)
K (0.000, 0.000, 0.500)
Sr (0.333, 0.667, 0.250)
Sr (0.667, 0.333, 0.750)
Tb (0.667, 0.333, 0.250)
Tb (0.333, 0.667, 0.750)
I (0.647, 0.625, 0.133)
I (0.978, 0.353, 0.133)
I (0.353, 0.978, 0.633)
I (0.022, 0.647, 0.867)
I (0.375, 0.353, 0.367)
I (0.978, 0.625, 0.367)
I (0.625, 0.978, 0.867)
I (0.647, 0.022, 0.367)
I (0.022, 0.375, 0.633)
I (0.375, 0.022, 0.133)
I (0.625, 0.647, 0.633)
I (0.353, 0.375, 0.867)


Entry 6:
KSrTeI after structural relaxation. Source: Alexandria via LeMat-Bulk, functional PBE-GGA.

SG: R3m
raw total energy: -13.59 eV for the cell shown
total magnetic moment: 0.00 μB/atom

a = 4.885 Å, b = 4.885 Å, c = 8.720 Å
α = 73.73°, β = 73.73°, γ = 60.00°
Sites, in units of the cell vectors:
K (0.508, 0.508, 0.476)
Sr (0.991, 0.991, 0.028)
Te (0.259, 0.259, 0.224)
I (0.743, 0.743, 0.771)


Entry 7:
K3SrTl3I8 after structural relaxation. Source: Alexandria via LeMat-Bulk, functional PBE-GGA.

SG: R-3m
raw total energy: -42.53 eV for the cell shown
total magnetic moment: 0.00 μB/atom

a = 10.049 Å, b = 10.045 Å, c = 10.112 Å
α = 119.78°, β = 90.00°, γ = 120.02°
Sites, in units of the cell vectors:
K (0.000, 0.000, 0.000)
K (0.000, 0.500, 0.000)
K (0.500, 0.500, 0.000)
Sr (0.000, 0.000, 0.500)
Tl (0.500, 0.000, 0.500)
Tl (0.500, 0.500, 0.500)
Tl (0.000, 0.500, 0.500)
I (0.250, 0.499, 0.249)
I (0.750, 0.501, 0.751)
I (0.768, 0.535, 0.268)
I (0.232, 0.465, 0.732)
I (0.768, 0.001, 0.268)
I (0.232, 0.999, 0.732)
I (0.233, 0.001, 0.268)
I (0.767, 0.999, 0.732)


Entry 8:
KSrTlI4 after structural relaxation. Source: Alexandria via LeMat-Bulk, functional PBE-GGA.

SG: I4mm
raw total energy: -20.11 eV for the cell shown
total magnetic moment: 0.00 μB/atom

a = 6.411 Å, b = 6.411 Å, c = 10.000 Å
α = 108.69°, β = 108.69°, γ = 90.00°
Sites, in units of the cell vectors:
K (0.629, 0.629, 0.258)
Sr (0.997, 0.997, 0.994)
Tl (0.359, 0.359, 0.719)
I (0.007, 0.507, 0.014)
I (0.507, 0.007, 0.014)
I (0.819, 0.819, 0.638)
I (0.182, 0.182, 0.363)


Entry 9:
KSr2TlI6 after structural relaxation. Source: Alexandria via LeMat-Bulk, functional PBE-GGA.

SG: R3
raw total energy: -30.53 eV for the cell shown
total magnetic moment: 0.00 μB/atom

a = 8.692 Å, b = 8.691 Å, c = 9.053 Å
α = 61.31°, β = 61.31°, γ = 60.00°
Sites, in units of the cell vectors:
K (0.807, 0.807, 0.578)
Sr (0.512, 0.512, 0.463)
Sr (0.011, 0.011, 0.966)
Tl (0.311, 0.311, 0.067)
I (0.642, 0.238, 0.239)
I (0.238, 0.880, 0.239)
I (0.880, 0.642, 0.240)
I (0.379, 0.737, 0.741)
I (0.737, 0.143, 0.741)
I (0.144, 0.379, 0.741)


Entry 10:
KSrTmI6 after structural relaxation. Source: Alexandria via LeMat-Bulk, functional PBE-GGA.

SG: P-31c
raw total energy: -60.30 eV for the cell shown
total magnetic moment: 0.00 μB/atom

a = 8.184 Å, b = 8.184 Å, c = 15.244 Å
α = 90.00°, β = 90.00°, γ = 120.00°
Sites, in units of the cell vectors:
K (0.000, 0.000, 0.000)
K (0.000, 0.000, 0.500)
Sr (0.333, 0.667, 0.250)
Sr (0.667, 0.333, 0.750)
Tm (0.667, 0.333, 0.250)
Tm (0.333, 0.667, 0.750)
I (0.649, 0.622, 0.134)
I (0.974, 0.351, 0.134)
I (0.351, 0.974, 0.634)
I (0.026, 0.649, 0.866)
I (0.378, 0.351, 0.366)
I (0.974, 0.622, 0.366)
I (0.622, 0.974, 0.866)
I (0.649, 0.026, 0.366)
I (0.026, 0.378, 0.634)
I (0.378, 0.026, 0.134)
I (0.622, 0.649, 0.634)
I (0.351, 0.378, 0.866)


Entry 11:
KSrUI6 after structural relaxation. Source: Alexandria via LeMat-Bulk, functional PBE-GGA.

SG: P-31c
raw total energy: -69.38 eV for the cell shown
total magnetic moment: 0.33 μB/atom

a = 8.291 Å, b = 8.291 Å, c = 15.439 Å
α = 90.00°, β = 90.00°, γ = 120.00°
Each line ends with the local moment (μB).
Sites, in units of the cell vectors:
K (0.000, 0.000, 0.000)  0.00
K (0.000, 0.000, 0.500)  0.00
Sr (0.333, 0.667, 0.250)  0.00
Sr (0.667, 0.333, 0.750)  0.00
U (0.667, 0.333, 0.250)  2.93
U (0.333, 0.667, 0.750)  2.93
I (0.645, 0.630, 0.131)  -0.01
I (0.986, 0.355, 0.131)  -0.01
I (0.355, 0.986, 0.631)  -0.01
I (0.014, 0.645, 0.869)  -0.01
I (0.370, 0.355, 0.369)  -0.01
I (0.986, 0.630, 0.369)  -0.01
I (0.630, 0.986, 0.869)  -0.01
I (0.645, 0.014, 0.369)  -0.01
I (0.014, 0.370, 0.631)  -0.01
I (0.370, 0.014, 0.131)  -0.01
I (0.630, 0.645, 0.631)  -0.01
I (0.355, 0.370, 0.869)  -0.01


Entry 12:
KSr2VI after structural relaxation. Source: Alexandria via LeMat-Bulk, functional PBE-GGA.

SG: P4/mmm
raw total energy: -10.66 eV for the cell shown
total magnetic moment: 0.87 μB/atom

a = 6.978 Å, b = 5.974 Å, c = 6.978 Å
α = 90.00°, β = 90.00°, γ = 90.00°
Each line ends with the local moment (μB).
Sites, in units of the cell vectors:
I (0.000, 0.500, 0.000)  0.01
Sr (0.000, 0.000, 0.500)  0.01
Sr (0.500, 0.000, 0.000)  0.02
K (0.000, 0.000, 0.000)  0.00
V (0.500, 0.500, 0.500)  3.18


Entry 13:
K2SrZnI6 after structural relaxation. Source: Alexandria via LeMat-Bulk, functional PBE-GGA.

SG: R3
raw total energy: -26.32 eV for the cell shown
total magnetic moment: 0.00 μB/atom

a = 8.434 Å, b = 8.432 Å, c = 8.528 Å
α = 60.35°, β = 60.35°, γ = 60.00°
Sites, in units of the cell vectors:
K (0.537, 0.537, 0.389)
K (0.036, 0.036, 0.892)
Sr (0.819, 0.819, 0.542)
Zn (0.320, 0.320, 0.041)
I (0.560, 0.181, 0.262)
I (0.181, 0.997, 0.262)
I (0.997, 0.560, 0.262)
I (0.462, 0.650, 0.789)
I (0.650, 0.100, 0.789)
I (0.100, 0.462, 0.789)


Entry 14:
K3TaI6 after structural relaxation. Source: Alexandria via LeMat-Bulk, functional PBE-GGA.

SG: Fm-3m
raw total energy: -33.16 eV for the cell shown
total magnetic moment: 0.20 μB/atom

a = 8.704 Å, b = 8.704 Å, c = 8.704 Å
α = 60.00°, β = 60.00°, γ = 60.00°
Each line ends with the local moment (μB).
Sites, in units of the cell vectors:
K (0.750, 0.750, 0.750)  0.00
K (0.250, 0.250, 0.250)  0.00
K (0.000, 0.000, 0.000)  0.00
Ta (0.500, 0.500, 0.500)  1.33
I (0.270, 0.730, 0.730)  0.00
I (0.270, 0.730, 0.270)  0.00
I (0.730, 0.270, 0.270)  0.00
I (0.730, 0.730, 0.270)  0.00
I (0.270, 0.270, 0.730)  0.00
I (0.730, 0.270, 0.730)  0.00


Entry 15:
K2TaI7 after structural relaxation. Source: Alexandria via LeMat-Bulk, functional PBE-GGA.

SG: C2/c
raw total energy: -63.96 eV for the cell shown
total magnetic moment: 0.00 μB/atom

a = 9.097 Å, b = 11.982 Å, c = 9.872 Å
α = 80.22°, β = 62.56°, γ = 67.69°
Sites, in units of the cell vectors:
K (0.664, 0.940, 0.725)
K (0.671, 0.440, 0.225)
K (0.329, 0.560, 0.775)
K (0.336, 0.060, 0.275)
Ta (0.923, 0.250, 0.750)
Ta (0.077, 0.750, 0.250)
I (0.745, 0.491, 0.811)
I (0.953, 0.991, 0.311)
I (0.305, 0.816, 0.936)
I (0.282, 0.241, 0.552)
I (0.590, 0.250, 0.750)
I (0.943, 0.316, 0.436)
I (0.075, 0.259, 0.948)
I (0.925, 0.741, 0.052)
I (0.057, 0.684, 0.564)
I (0.410, 0.750, 0.250)
I (0.718, 0.759, 0.448)
I (0.695, 0.184, 0.064)
I (0.047, 0.009, 0.689)
I (0.255, 0.509, 0.189)


Entry 16:
KTaI3 after structural relaxation. Source: Alexandria via LeMat-Bulk, functional PBE-GGA.

SG: Pm-3m
raw total energy: -12.50 eV for the cell shown
total magnetic moment: 0.60 μB/atom

a = 6.212 Å, b = 6.212 Å, c = 6.212 Å
α = 90.00°, β = 90.00°, γ = 90.00°
Each line ends with the local moment (μB).
Sites, in units of the cell vectors:
I (0.000, 0.500, 0.000)  -0.16
I (0.000, 0.000, 0.500)  -0.11
I (0.500, 0.000, 0.000)  -0.11
K (0.000, 0.000, 0.000)  0.00
Ta (0.500, 0.500, 0.500)  2.32


Entry 17:
KTaI3 after structural relaxation. Source: Alexandria via LeMat-Bulk, functional PBE-GGA.

SG: Pm-3m
raw total energy: -18.83 eV for the cell shown
total magnetic moment: 0.60 μB/atom

a = 5.821 Å, b = 5.821 Å, c = 5.821 Å
α = 90.00°, β = 90.00°, γ = 90.00°
Each line ends with the local moment (μB).
Sites, in units of the cell vectors:
I (0.000, 0.500, 0.000)  0.01
I (0.000, 0.000, 0.500)  0.02
I (0.500, 0.000, 0.000)  0.04
K (0.500, 0.500, 0.500)  0.00
Ta (0.000, 0.000, 0.000)  1.91


Entry 18:
KTaI5 after structural relaxation. Source: Alexandria via LeMat-Bulk, functional PBE-GGA.

SG: C2/c
raw total energy: -50.07 eV for the cell shown
total magnetic moment: 0.14 μB/atom

a = 8.229 Å, b = 8.229 Å, c = 11.545 Å
α = 92.48°, β = 115.59°, γ = 109.47°
Each line ends with the local moment (μB).
Sites, in units of the cell vectors:
K (0.716, 0.466, 0.250)  0.00
K (0.284, 0.534, 0.750)  0.00
Ta (0.000, 0.000, 0.000)  0.71
Ta (0.500, 0.000, 0.500)  0.71
I (0.811, 0.096, 0.120)  -0.01
I (0.134, 0.821, 0.486)  0.01
I (0.524, 0.309, 0.620)  -0.01
I (0.345, 0.095, 0.250)  -0.01
I (0.835, 0.648, 0.014)  0.01
I (0.165, 0.352, 0.986)  0.01
I (0.655, 0.905, 0.750)  -0.01
I (0.476, 0.691, 0.380)  -0.01
I (0.866, 0.179, 0.514)  0.01
I (0.189, 0.904, 0.880)  -0.01


Entry 19:
KTaTeI2 after structural relaxation. Source: Alexandria via LeMat-Bulk, functional PBE-GGA.

SG: P4/mmm
raw total energy: -20.79 eV for the cell shown
total magnetic moment: 0.37 μB/atom

a = 5.901 Å, b = 5.901 Å, c = 5.407 Å
α = 90.00°, β = 90.00°, γ = 90.00°
Each line ends with the local moment (μB).
Sites, in units of the cell vectors:
I (0.000, 0.500, 0.000)  0.02
I (0.500, 0.000, 0.000)  0.02
K (0.500, 0.500, 0.500)  0.00
Te (0.000, 0.000, 0.500)  -0.05
Ta (0.000, 0.000, 0.000)  1.29